Below is La12InRh6 after structural relaxation, with properties calculated at the PBE level.

a b c (Å): 8.985 8.985 8.985
angles (deg): 109.47 109.47 109.47
Fractional coordinates of all 19 atoms:
Rh1 0.500 0.862 0.362
Rh2 0.138 0.638 0.500
Rh3 0.638 0.500 0.138
Rh4 0.862 0.362 0.500
Rh5 0.362 0.500 0.862
Rh6 0.500 0.138 0.638
La1 0.817 0.691 0.508
La2 0.874 0.183 0.691
La3 0.508 0.817 0.691
La4 0.691 0.874 0.183
La5 0.309 0.492 0.183
La6 0.126 0.817 0.309
La7 0.183 0.309 0.492
La8 0.492 0.183 0.309
La9 0.691 0.508 0.817
La10 0.309 0.126 0.817
La11 0.817 0.309 0.126
La12 0.183 0.691 0.874
In1 0.000 0.000 0.000

Energy of formation from the pure elements in meV per atom: -588
DOS at the Fermi energy in states/eV/cell: 19.0
Final energy in eV/atom: -6.166